Record 1
Entry from Alexandria: an optimized crystal structure of PmY4Cu5 (PBE-GGA).

## Properties
The total energy comes out at -5.338 eV/atom. As for the density of states at the Fermi level: 4.2 states/eV/cell. The formation energy comes out at -0.230 eV per atom. The size of the total moment is 0.00 μB per formula unit. For the mass density, the calculation gives 6.3 Mg/m³.

Cell: 3.4793 3.4793 17.6837 Å, 90.00 90.00 90.00°
Fractional coordinates of all 10 atoms:
Pm1 0.0000 0.0000 0.0000
Y1 0.0000 0.0000 0.2027
Y2 0.0000 0.0000 0.4008
Y3 0.0000 0.0000 0.5992
Y4 0.0000 0.0000 0.7973
Cu1 0.5000 0.5000 0.1062
Cu2 0.5000 0.5000 0.3014
Cu3 0.5000 0.5000 0.5000
Cu4 0.5000 0.5000 0.6986
Cu5 0.5000 0.5000 0.8938

Record 2
Entry from Alexandria: an optimized crystal structure of Nd3Ir (PBE-GGA).

## Properties
The total energy comes out at -6.183 eV/atom. As for the density of states at the Fermi level: 11.2 states/eV/cell. The formation energy comes out at -0.392 eV per atom. The size of the total moment is 0.00 μB per formula unit. For the mass density, the calculation gives 9.0 Mg/m³.

Cell: 9.0871 9.0871 6.3299 Å, 110.35 110.35 83.03°
Fractional coordinates of all 16 atoms:
Nd1 0.0000 0.0000 0.0000
Nd2 0.0000 0.2831 0.6414
Nd3 0.1691 0.6413 0.1585
Nd4 0.3583 0.4519 0.6510
Nd5 0.3587 0.0467 0.5094
Nd6 0.3585 0.2364 0.1040
Nd7 0.3587 0.8309 0.8415
Nd8 0.5481 0.6417 0.3490
Nd9 0.7169 0.0000 0.3586
Nd10 0.7170 0.2830 0.0000
Nd11 0.7636 0.6415 0.8960
Nd12 0.9533 0.6413 0.4906
Ir1 0.0612 0.3445 0.2024
Ir2 0.0616 0.9384 0.5000
Ir3 0.6560 0.3440 0.5000
Ir4 0.6555 0.9388 0.7976

Record 3
Entry from Alexandria: an optimized crystal structure of Li2SiAgCl (PBE-GGA).

## Properties
Its formation energy from raw total energies is -0.02 eV per atom. The total energy comes out at -2.805 eV/atom. As for the density of states at the Fermi level: 1.3 states/eV/cell. The size of the total moment is 1.96 μB per formula unit. For the mass density, the calculation gives 2.4 Mg/m³.

Cell: 5.1867 5.1867 4.7045 Å, 90.00 90.00 90.00°
Fractional coordinates of all 5 atoms:
Li1 0.0000 0.5000 0.0000
Li2 0.5000 0.0000 0.0000
Si1 0.0000 0.0000 0.0000
Ag1 0.0000 0.0000 0.5000
Cl1 0.5000 0.5000 0.5000

Record 4
Entry from Alexandria: an optimized crystal structure of LiHf2In2 (PBE-GGA).

## Properties
The total energy comes out at -5.450 eV/atom. As for the density of states at the Fermi level: 6.4 states/eV/cell. The formation energy comes out at 0.009 eV per atom. The size of the total moment is 0.00 μB per formula unit. As for the energy above the most stable polymorph in this dataset: 0.000 eV/atom. For the mass density, the calculation gives 9.3 Mg/m³.

Cell: 6.8084 6.8084 4.5922 Å, 90.00 90.00 90.00°
Fractional coordinates of all 10 atoms:
Li1 0.0000 0.0000 0.0000
Li2 0.5000 0.5000 0.0000
Hf1 0.1631 0.3369 0.5000
Hf2 0.3369 0.8369 0.5000
Hf3 0.6631 0.1631 0.5000
Hf4 0.8369 0.6631 0.5000
In1 0.1481 0.6481 0.0000
In2 0.3519 0.1481 0.0000
In3 0.6481 0.8519 0.0000
In4 0.8519 0.3519 0.0000